1.
GGA-PBEsol BaYNi2, optimized geometry; formation enthalpy at 0 K = -7.2 kJ per mole of atoms; energy above the most stable polymorph in this dataset = 0 meV per atom; spin magnetization = 0.000 μB/atom; density of states at the Fermi level = 0.694 states/eV per atom; V = 24.25 A^3/atom; E_tot = -0.3966 Ry per atom; symmetry = No. 38
1.0
-2.368 -1.774 2.614
-1.107 -2.607 -2.772
5.832 -2.859 0.360
Ba Ni Y
1 2 1
Direct
0.777 0.500 0.554
0.056 0.500 0.112
0.157 0.000 0.314
0.510 0.000 0.020

2.
GGA-PBEsol BaY2Ni, optimized geometry; formation enthalpy at 0 K = 4.8 kJ per mole of atoms; energy above the most stable polymorph in this dataset = 0 meV per atom; spin magnetization = 0.000 μB/atom; density of states at the Fermi level = 1.148 states/eV per atom; V = 29.40 A^3/atom; E_tot = -0.3997 Ry per atom; symmetry = No. 71
1.0
-0.773 1.393 -3.186
-4.232 -3.965 -0.707
-1.196 4.799 4.379
Ba Ni Y
1 1 2
Direct
0.000 0.500 0.000
0.500 0.000 0.000
0.819 0.819 0.637
0.181 0.181 0.363

3.
GGA-PBEsol BaYNi2, optimized geometry; formation enthalpy at 0 K = 23.2 kJ per mole of atoms; energy above the most stable polymorph in this dataset = 315 meV per atom; spin magnetization = 0.000 μB/atom; density of states at the Fermi level = 0.489 states/eV per atom; V = 23.76 A^3/atom; E_tot = -0.3734 Ry per atom; symmetry = No. 99
1.0
4.058 0.000 0.000
0.000 4.058 0.000
0.000 0.000 5.771
Ba Ni Y
1 2 1
Direct
0.500 0.500 0.874
0.000 0.000 0.877
0.500 0.500 0.373
0.000 0.000 0.376

4.
GGA-PBEsol BaYNi2, optimized geometry; formation enthalpy at 0 K = 12.9 kJ per mole of atoms; energy above the most stable polymorph in this dataset = 208 meV per atom; spin magnetization = 0.000 μB/atom; density of states at the Fermi level = 0.545 states/eV per atom; V = 21.35 A^3/atom; E_tot = -0.3813 Ry per atom; symmetry = No. 71
1.0
4.935 0.000 0.000
2.468 4.282 0.072
2.468 1.353 4.063
Ba Ni Y
1 2 1
Direct
0.500 0.000 0.000
0.252 0.748 0.748
0.748 0.252 0.252
0.000 0.500 0.500

5.
GGA-PBEsol BaYNi2, optimized geometry; formation enthalpy at 0 K = -6.6 kJ per mole of atoms; energy above the most stable polymorph in this dataset = 6 meV per atom; spin magnetization = 0.000 μB/atom; density of states at the Fermi level = 0.548 states/eV per atom; V = 21.80 A^3/atom; E_tot = -0.3961 Ry per atom; symmetry = No. 123
1.0
-2.414 -0.660 -2.448
1.704 -2.926 -0.891
-3.816 -3.669 4.752
Ba Ni Y
1 2 1
Direct
0.500 0.500 0.500
0.000 0.000 0.814
0.000 0.000 0.186
0.500 0.500 0.000

6.
GGA-PBEsol BaY2Ni, optimized geometry; formation enthalpy at 0 K = 39.1 kJ per mole of atoms; energy above the most stable polymorph in this dataset = 356 meV per atom; spin magnetization = 0.000 μB/atom; density of states at the Fermi level = 1.097 states/eV per atom; V = 27.24 A^3/atom; E_tot = -0.3736 Ry per atom; symmetry = No. 47
1.0
-1.680 2.937 1.892
-4.755 -2.052 -1.038
0.217 -2.791 4.524
Ba Ni Y
1 1 2
Direct
0.500 0.000 0.500
0.000 0.500 0.500
0.000 0.000 0.000
0.500 0.500 0.000

7.
GGA-PBEsol BaZr2Ni, optimized geometry; formation enthalpy at 0 K = 60.0 kJ per mole of atoms; spin magnetization = 0.000 μB/atom; density of states at the Fermi level = 1.187 states/eV per atom; V = 22.58 A^3/atom; E_tot = -0.4409 Ry per atom; symmetry = No. 123
1.0
-1.784 1.284 -3.566
-3.548 -1.952 1.072
-1.638 4.272 2.358
Ba Ni Zr
1 1 2
Direct
0.500 0.500 0.500
0.000 0.000 0.500
0.000 0.500 0.000
0.500 0.000 0.000

8.
GGA-PBEsol Ba2ZrNi, optimized geometry; formation enthalpy at 0 K = 75.2 kJ per mole of atoms; energy above the most stable polymorph in this dataset = 458 meV per atom; spin magnetization = 0.000 μB/atom; density of states at the Fermi level = 1.139 states/eV per atom; V = 26.86 A^3/atom; E_tot = -0.3019 Ry per atom; symmetry = No. 47
1.0
3.839 0.000 0.000
0.000 5.304 0.000
0.000 0.000 5.277
Ba Ni Zr
2 1 1
Direct
0.000 0.000 0.000
0.500 0.000 0.500
0.500 0.500 0.000
0.000 0.500 0.500

Q: Look up the V of the third one.
A: 23.76 A^3/atom

What did the sixth record say?
GGA-PBEsol BaY2Ni, optimized geometry; formation enthalpy at 0 K = 39.1 kJ per mole of atoms; energy above the most stable polymorph in this dataset = 356 meV per atom; spin magnetization = 0.000 μB/atom; density of states at the Fermi level = 1.097 states/eV per atom; V = 27.24 A^3/atom; E_tot = -0.3736 Ry per atom; symmetry = No. 47
1.0
-1.680 2.937 1.892
-4.755 -2.052 -1.038
0.217 -2.791 4.524
Ba Ni Y
1 1 2
Direct
0.500 0.000 0.500
0.000 0.500 0.500
0.000 0.000 0.000
0.500 0.500 0.000

Q: spin magnetization of number 3 (BaYNi2)?
A: 0.000 μB/atom

Q: The highest V belongs to which entry?
A: number 2